Compound: LaSmRu
Source: Alexandria
Functional: PBE-GGA
Structure: relaxed

The structure in POSCAR format:
```
LaSmRu
1.0
6.097 -1.971 0.000
6.097 1.971 0.000
-0.123 0.000 6.789
La Sm Ru
2 2 2
Direct
0.000 0.000 0.000
0.725 0.725 0.746
0.448 0.448 0.489
0.725 0.725 0.250
0.112 0.112 0.503
0.345 0.345 0.005
```

Summary:
- Total DFT energy (no corrections): -19.6 eV/f.u.
- SG: No. 8
- Energy of formation: -0.2306 eV/atom

=====

Compound: LaSm4Ru2
Source: Alexandria
Functional: PBE-GGA
Structure: relaxed

The structure in POSCAR format:
```
LaSm4Ru2
1.0
7.831 0.000 0.000
0.000 6.684 0.000
-3.360 0.000 7.528
La Sm Ru
2 8 4
Direct
0.029 0.250 0.175
0.971 0.750 0.825
0.250 0.503 0.590
0.250 0.997 0.590
0.319 0.750 0.254
0.373 0.250 0.012
0.627 0.750 0.988
0.681 0.250 0.746
0.750 0.003 0.410
0.750 0.497 0.410
0.016 0.250 0.720
0.392 0.250 0.358
0.608 0.750 0.642
0.984 0.750 0.280
```

Summary:
- Total DFT energy (no corrections): -43.5 eV/f.u.
- SG: No. 11
- Energy of formation: -0.1656 eV/atom

=====

Compound: La3SmTlRu
Source: Alexandria
Functional: PBE-GGA
Structure: relaxed

The structure in POSCAR format:
```
La3SmTlRu
1.0
8.326 -3.772 0.000
8.326 3.772 0.000
-2.287 0.000 5.793
La Sm Tl Ru
6 2 2 2
Direct
0.133 0.634 0.886
0.180 0.180 0.676
0.366 0.867 0.114
0.634 0.133 0.886
0.820 0.820 0.324
0.867 0.366 0.114
0.298 0.702 0.500
0.702 0.298 0.500
0.305 0.305 0.304
0.695 0.695 0.696
0.000 0.000 0.242
0.000 0.000 0.758
```

Summary:
- Total DFT energy (no corrections): -32.9 eV/f.u.
- SG: No. 12
- Energy of formation: -0.3008 eV/atom

=====

Compound: La4Sn3Ru
Source: Alexandria
Functional: PBE-GGA
Structure: relaxed

The structure in POSCAR format:
```
La4Sn3Ru
1.0
4.489 0.000 0.000
0.000 4.732 0.000
0.000 0.000 11.346
La Sn Ru
4 3 1
Direct
0.000 0.000 0.000
0.000 0.500 0.431
0.500 0.000 0.673
0.500 0.500 0.177
0.000 0.500 0.723
0.500 0.000 0.376
0.500 0.500 0.897
0.000 0.000 0.212
```

Summary:
- Total DFT energy (no corrections): -46.1 eV/f.u.
- SG: No. 25
- Energy of formation: -0.6378 eV/atom

=====

Compound: La3SnRu
Source: Alexandria
Functional: PBE-GGA
Structure: relaxed

The structure in POSCAR format:
```
La3SnRu
1.0
4.499 2.598 4.042
-4.499 2.598 4.042
0.000 -5.195 4.042
La Sn Ru
6 2 2
Direct
0.048 0.750 0.452
0.250 0.548 0.952
0.452 0.048 0.750
0.548 0.952 0.250
0.750 0.452 0.048
0.952 0.250 0.548
0.000 0.000 0.000
0.500 0.500 0.500
0.250 0.250 0.250
0.750 0.750 0.750
```

Summary:
- Total DFT energy (no corrections): -29.6 eV/f.u.
- SG: No. 167
- Energy of formation: -0.3066 eV/atom

=====

Compound: La2SnRu
Source: Alexandria
Functional: PBE-GGA
Structure: relaxed

The structure in POSCAR format:
```
La2SnRu
1.0
-4.174 4.174 3.137
4.174 -4.174 3.137
4.174 4.174 -3.137
La Sn Ru
4 2 2
Direct
0.059 0.125 0.434
0.375 0.941 0.066
0.691 0.625 0.566
0.875 0.309 0.934
0.250 0.750 0.500
0.500 0.500 0.000
0.000 0.000 0.000
0.750 0.250 0.500
```

Summary:
- Total DFT energy (no corrections): -24.3 eV/f.u.
- SG: No. 122
- Energy of formation: -0.2963 eV/atom

=====

Compound: La2Sn2Ru
Source: Alexandria
Functional: PBE-GGA
Structure: relaxed

The structure in POSCAR format:
```
La2Sn2Ru
1.0
7.353 0.000 0.000
0.000 7.353 0.000
0.000 0.000 4.933
La Sn Ru
4 4 2
Direct
0.171 0.329 0.000
0.329 0.829 0.000
0.671 0.171 0.000
0.829 0.671 0.000
0.142 0.642 0.500
0.358 0.142 0.500
0.642 0.858 0.500
0.858 0.358 0.500
0.000 0.000 0.500
0.500 0.500 0.500
```

Summary:
- Total DFT energy (no corrections): -29.5 eV/f.u.
- SG: No. 127
- Energy of formation: -0.4761 eV/atom

=====

Compound: La3SnRu
Source: Alexandria
Functional: PBE-GGA
Structure: relaxed

The structure in POSCAR format:
```
La3SnRu
1.0
6.014 0.000 0.000
0.169 7.034 0.000
1.654 0.325 7.023
La Sn Ru
6 2 2
Direct
0.132 0.215 0.367
0.319 0.040 0.820
0.340 0.515 0.771
0.660 0.485 0.229
0.681 0.960 0.180
0.868 0.785 0.633
0.167 0.718 0.198
0.833 0.282 0.802
0.365 0.811 0.508
0.635 0.189 0.492
```

Summary:
- Total DFT energy (no corrections): -30.6 eV/f.u.
- SG: No. 2
- Energy of formation: -0.5132 eV/atom

=====

Compound: La3SnRu
Source: Alexandria
Functional: PBE-GGA
Structure: relaxed

The structure in POSCAR format:
```
La3SnRu
1.0
5.682 0.000 0.000
0.000 8.561 0.000
-1.960 0.000 6.300
La Sn Ru
6 2 2
Direct
0.031 0.250 0.134
0.405 0.059 0.721
0.405 0.441 0.721
0.595 0.559 0.279
0.595 0.941 0.279
0.969 0.750 0.866
0.136 0.750 0.401
0.864 0.250 0.599
0.479 0.750 0.809
0.521 0.250 0.191
```

Summary:
- Total DFT energy (no corrections): -30.6 eV/f.u.
- SG: No. 11
- Energy of formation: -0.4985 eV/atom

=====

Compound: La3SnRu
Source: Alexandria
Functional: PBE-GGA
Structure: relaxed

The structure in POSCAR format:
```
La3SnRu
1.0
5.044 0.000 0.000
-2.522 4.368 0.000
0.000 0.000 16.518
La Sn Ru
6 2 2
Direct
0.000 0.000 0.250
0.000 0.000 0.750
0.333 0.667 0.089
0.333 0.667 0.411
0.667 0.333 0.589
0.667 0.333 0.911
0.000 0.000 0.000
0.000 0.000 0.500
0.333 0.667 0.250
0.667 0.333 0.750
```

Summary:
- Total DFT energy (no corrections): -29.3 eV/f.u.
- SG: No. 194
- Energy of formation: -0.2466 eV/atom

=====

Compound: La3SnRu
Source: Alexandria
Functional: PBE-GGA
Structure: relaxed

The structure in POSCAR format:
```
La3SnRu
1.0
9.036 0.000 0.000
0.000 7.721 0.000
-1.420 0.000 8.716
La Sn Ru
12 4 4
Direct
0.031 0.249 0.364
0.031 0.251 0.864
0.295 0.671 0.957
0.295 0.829 0.457
0.403 0.054 0.786
0.403 0.446 0.286
0.597 0.554 0.714
0.597 0.946 0.214
0.705 0.171 0.543
0.705 0.329 0.043
0.969 0.749 0.136
0.969 0.751 0.636
0.251 0.073 0.139
0.251 0.427 0.639
0.749 0.573 0.361
0.749 0.927 0.861
0.389 0.170 0.460
0.389 0.330 0.960
0.611 0.670 0.040
0.611 0.830 0.540
```

Summary:
- Total DFT energy (no corrections): -30.1 eV/f.u.
- SG: No. 14
- Energy of formation: -0.3985 eV/atom

=====

Compound: La3SnRu
Source: Alexandria
Functional: PBE-GGA
Structure: relaxed

The structure in POSCAR format:
```
La3SnRu
1.0
3.421 -8.501 0.000
3.421 8.501 0.000
0.000 0.000 6.012
La Sn Ru
6 2 2
Direct
0.000 0.000 0.000
0.000 0.000 0.500
0.101 0.418 0.750
0.418 0.101 0.250
0.582 0.899 0.750
0.899 0.582 0.250
0.174 0.826 0.750
0.826 0.174 0.250
0.452 0.548 0.750
0.548 0.452 0.250
```

Summary:
- Total DFT energy (no corrections): -27.6 eV/f.u.
- SG: No. 63
- Energy of formation: 0.0904 eV/atom

=====

Compound: La5SnRu2
Source: Alexandria
Functional: PBE-GGA
Structure: relaxed

The structure in POSCAR format:
```
La5SnRu2
1.0
-4.021 4.021 7.110
4.021 -4.021 7.110
4.021 4.021 -7.110
La Sn Ru
10 2 4
Direct
0.000 0.000 0.000
0.030 0.530 0.823
0.207 0.030 0.500
0.293 0.793 0.823
0.470 0.293 0.500
0.500 0.500 0.000
0.530 0.707 0.500
0.707 0.207 0.177
0.793 0.970 0.500
0.970 0.470 0.177
0.250 0.250 0.000
0.750 0.750 0.000
0.143 0.357 0.500
0.357 0.857 0.214
0.643 0.143 0.786
0.857 0.643 0.500
```

Summary:
- Total DFT energy (no corrections): -50.8 eV/f.u.
- SG: No. 140
- Energy of formation: -0.4539 eV/atom

=====

Compound: La3SnRu
Source: Alexandria
Functional: PBE-GGA
Structure: relaxed

The structure in POSCAR format:
```
La3SnRu
1.0
3.896 2.249 6.123
-3.896 2.249 6.123
0.000 -4.498 6.123
La Sn Ru
6 2 2
Direct
0.187 0.750 0.313
0.250 0.687 0.813
0.313 0.187 0.750
0.687 0.813 0.250
0.750 0.313 0.187
0.813 0.250 0.687
0.250 0.250 0.250
0.750 0.750 0.750
0.000 0.000 0.000
0.500 0.500 0.500
```

Summary:
- Total DFT energy (no corrections): -30.5 eV/f.u.
- SG: No. 167
- Energy of formation: -0.4899 eV/atom

=====

Compound: La3SnRu
Source: Alexandria
Functional: PBE-GGA
Structure: relaxed

The structure in POSCAR format:
```
La3SnRu
1.0
6.039 0.000 0.000
-2.286 6.038 0.000
-1.070 -2.834 8.065
La Sn Ru
6 2 2
Direct
0.124 0.218 0.245
0.262 0.343 0.675
0.304 0.779 0.099
0.696 0.221 0.901
0.738 0.657 0.325
0.876 0.782 0.755
0.313 0.792 0.522
0.687 0.208 0.478
0.266 0.309 0.984
0.734 0.691 0.016
```

Summary:
- Total DFT energy (no corrections): -30.4 eV/f.u.
- SG: No. 2
- Energy of formation: -0.4704 eV/atom

=====

Compound: La2Sn5Ru3
Source: Alexandria
Functional: PBE-GGA
Structure: relaxed

The structure in POSCAR format:
```
La2Sn5Ru3
1.0
2.275 -13.432 0.000
2.275 13.432 0.000
0.000 0.000 7.326
La Sn Ru
4 10 6
Direct
0.026 0.974 0.500
0.327 0.673 0.551
0.673 0.327 0.051
0.974 0.026 0.000
0.096 0.904 0.882
0.206 0.794 0.349
0.210 0.790 0.764
0.375 0.625 0.021
0.450 0.550 0.670
0.550 0.450 0.170
0.625 0.375 0.521
0.790 0.210 0.264
0.794 0.206 0.849
0.904 0.096 0.382
0.105 0.895 0.263
0.274 0.726 0.058
0.450 0.550 0.287
0.550 0.450 0.787
0.726 0.274 0.558
0.895 0.105 0.763
```

Summary:
- Total DFT energy (no corrections): -62.1 eV/f.u.
- SG: No. 36
- Energy of formation: -0.4414 eV/atom

=====

Compound: La3SnRu
Source: Alexandria
Functional: PBE-GGA
Structure: relaxed

The structure in POSCAR format:
```
La3SnRu
1.0
-3.142 3.142 8.937
3.142 -3.142 8.937
3.142 3.142 -8.937
La Sn Ru
6 2 2
Direct
0.223 0.223 0.000
0.358 0.611 0.747
0.389 0.136 0.747
0.389 0.642 0.253
0.777 0.777 0.000
0.864 0.611 0.253
0.654 0.154 0.500
0.846 0.346 0.500
0.250 0.750 0.500
0.500 0.500 0.000
```

Summary:
- Total DFT energy (no corrections): -28.1 eV/f.u.
- SG: No. 119
- Energy of formation: -0.0141 eV/atom

=====

Compound: La3SnRu
Source: Alexandria
Functional: PBE-GGA
Structure: relaxed

The structure in POSCAR format:
```
La3SnRu
1.0
5.421 0.000 0.000
-2.711 4.695 0.000
0.000 0.000 11.275
La Sn Ru
6 2 2
Direct
0.000 0.000 0.250
0.000 0.000 0.750
0.333 0.667 0.060
0.333 0.667 0.440
0.667 0.333 0.560
0.667 0.333 0.940
0.333 0.667 0.750
0.667 0.333 0.250
0.000 0.000 0.000
0.000 0.000 0.500
```

Summary:
- Total DFT energy (no corrections): -30.0 eV/f.u.
- SG: No. 194
- Energy of formation: -0.3918 eV/atom

=====

Compound: La12SnRu6
Source: Alexandria
Functional: PBE-GGA
Structure: relaxed

The structure in POSCAR format:
```
La12SnRu6
1.0
-5.155 5.155 5.155
5.155 -5.155 5.155
5.155 5.155 -5.155
La Sn Ru
12 1 6
Direct
0.117 0.808 0.309
0.192 0.309 0.501
0.192 0.691 0.883
0.309 0.117 0.808
0.309 0.501 0.192
0.499 0.808 0.691
0.501 0.192 0.309
0.691 0.499 0.808
0.691 0.883 0.192
0.808 0.309 0.117
0.808 0.691 0.499
0.883 0.192 0.691
0.000 0.000 0.000
0.132 0.632 0.500
0.368 0.500 0.868
0.500 0.132 0.632
0.500 0.868 0.368
0.632 0.500 0.132
0.868 0.368 0.500
```

Summary:
- Total DFT energy (no corrections): -124.2 eV/f.u.
- SG: No. 204
- Energy of formation: -0.2859 eV/atom

=====

Compound: La3SnRu
Source: Alexandria
Functional: PBE-GGA
Structure: relaxed

The structure in POSCAR format:
```
La3SnRu
1.0
7.598 -3.940 0.000
7.598 3.940 0.000
-0.262 0.000 5.127
La Sn Ru
6 2 2
Direct
0.000 0.500 0.000
0.194 0.806 0.000
0.372 0.372 0.522
0.500 0.000 0.000
0.628 0.628 0.478
0.806 0.194 0.000
0.142 0.142 0.493
0.858 0.858 0.507
0.401 0.401 0.040
0.599 0.599 0.960
```

Summary:
- Total DFT energy (no corrections): -30.5 eV/f.u.
- SG: No. 12
- Energy of formation: -0.4867 eV/atom